The following is a DFT calculation (PBE) of a relaxed Te8Pt4Pb crystal.

Computed properties:
- Calculated density: 7.990 g cm⁻³
- Symmetry: R-3m (166)
- Volume: 417.4 Å³/cell
- Uncorrected energy: -57.101 eV/cell
- Formation energy (no corrections): -0.3151 eV/atom

Lattice parameters (Å, degrees): 8.124 8.124 8.680 62.10 62.10 60.00
Sites, in units of the cell vectors:
1 Te 0.727 0.232 0.810
2 Te 0.730 0.730 0.810
3 Te 0.232 0.727 0.810
4 Pt 0.500 0.500 0.000
5 Te 0.768 0.273 0.190
6 Te 0.270 0.270 0.190
7 Te 0.273 0.768 0.190
8 Pb 0.500 0.500 0.500
9 Te 0.232 0.232 0.810
10 Pt 0.000 0.500 0.000
11 Pt 0.000 0.000 0.000
12 Te 0.768 0.768 0.190
13 Pt 0.500 0.000 0.000